Below is an optimized crystal structure of SrLiDyI6, with properties calculated at the GGA-PBE level.

Unit cell a=7.735 b=7.735 c=14.417 alpha=90.00 beta=90.00 gamma=120.00
Atoms (fractional coordinates):
Sr1 0.000 0.000 0.000
Sr2 0.000 0.000 0.500
Li1 0.333 0.667 0.250
Li2 0.667 0.333 0.750
Dy1 0.333 0.667 0.750
Dy2 0.667 0.333 0.250
I1 0.002 0.356 0.131
I2 0.002 0.646 0.369
I3 0.354 0.356 0.369
I4 0.354 0.998 0.131
I5 0.356 0.002 0.631
I6 0.356 0.354 0.869
I7 0.644 0.646 0.131
I8 0.644 0.998 0.369
I9 0.646 0.002 0.869
I10 0.646 0.644 0.631
I11 0.998 0.354 0.631
I12 0.998 0.644 0.869

Computed properties:
**VASP energy**: -3.37 eV/atom
**Crystal system**: trigonal

Below is an optimized crystal structure of RbTl3Pd2, with properties calculated at the GGA-PBE level.

Unit cell a=7.491 b=7.491 c=6.048 alpha=90.00 beta=90.00 gamma=74.96
Atoms (fractional coordinates):
Rb1 0.138 0.862 0.750
Rb2 0.862 0.138 0.250
Tl1 0.031 0.586 0.250
Tl2 0.414 0.969 0.250
Tl3 0.462 0.538 0.250
Tl4 0.538 0.462 0.750
Tl5 0.586 0.031 0.750
Tl6 0.969 0.414 0.750
Pd1 0.293 0.293 0.000
Pd2 0.293 0.293 0.500
Pd3 0.707 0.707 0.000
Pd4 0.707 0.707 0.500

Computed properties:
**VASP energy**: -3.21 eV/atom
**Formation energy**: -0.1346 eV/atom
**Crystal system**: orthorhombic
**ΔE to the lowest computed polymorph**: 0 kJ/mol of formula units

Below is an optimized crystal structure of K2ScPbO4, with properties calculated at the GGA-PBE level.

Unit cell a=6.182 b=6.182 c=6.182 alpha=121.84 beta=121.84 gamma=86.84
Atoms (fractional coordinates):
K1 0.000 0.000 0.000
K2 0.750 0.250 0.500
Sc1 0.500 0.500 0.000
Pb1 0.250 0.750 0.500
O1 0.217 0.152 0.604
O2 0.387 0.783 0.936
O3 0.549 0.613 0.396
O4 0.848 0.451 0.064

Computed properties:
**VASP energy**: -5.89 eV/atom
**Crystal system**: tetragonal

Below is an optimized crystal structure of AcPmTm14, with properties calculated at the GGA-PBE level.

Unit cell a=11.197 b=7.195 c=7.195 alpha=60.15 beta=90.00 gamma=90.00
Atoms (fractional coordinates):
Ac1 0.000 0.000 0.000
Pm1 0.000 0.500 0.500
Tm1 0.000 0.003 0.501
Tm2 0.000 0.501 0.003
Tm3 0.252 0.669 0.669
Tm4 0.255 0.170 0.170
Tm5 0.257 0.169 0.666
Tm6 0.257 0.666 0.169
Tm7 0.500 0.001 0.502
Tm8 0.500 0.002 0.002
Tm9 0.500 0.502 0.001
Tm10 0.500 0.502 0.502
Tm11 0.743 0.169 0.666
Tm12 0.743 0.666 0.169
Tm13 0.745 0.170 0.170
Tm14 0.748 0.669 0.669

Computed properties:
**VASP energy**: -4.45 eV/atom
**Formation energy**: 0.0158 eV/atom
**Crystal system**: orthorhombic

Below is an optimized crystal structure of CrPt4Rh, with properties calculated at the GGA-PBE level.

Unit cell a=9.205 b=8.787 c=4.778 alpha=79.50 beta=69.82 gamma=30.69
Atoms (fractional coordinates):
Cr1 0.125 0.125 0.125
Cr2 0.875 0.875 0.875
Pt1 0.043 0.043 0.707
Pt2 0.207 0.207 0.543
Pt3 0.293 0.293 0.957
Pt4 0.457 0.457 0.793
Pt5 0.543 0.543 0.207
Pt6 0.707 0.707 0.043
Pt7 0.793 0.793 0.457
Pt8 0.957 0.957 0.293
Rh1 0.375 0.375 0.375
Rh2 0.625 0.625 0.625

Computed properties:
**VASP energy**: -7.02 eV/atom
**Formation energy**: -0.1635 eV/atom
**Crystal system**: orthorhombic
**ΔE to the lowest computed polymorph**: 0 kJ/mol of formula units

Below is an optimized crystal structure of CaUC2, with properties calculated at the GGA-PBE level.

Unit cell a=6.101 b=6.101 c=6.101 alpha=34.58 beta=34.58 gamma=34.58
Atoms (fractional coordinates):
Ca1 0.000 0.000 0.000
U1 0.500 0.500 0.500
C1 0.229 0.229 0.229
C2 0.771 0.771 0.771

Computed properties:
**VASP energy**: -7.98 eV/atom
**Formation energy**: -0.0442 eV/atom
**Crystal system**: trigonal

Below is an optimized crystal structure of KRb2I, with properties calculated at the GGA-PBE level.

Unit cell a=4.584 b=4.584 c=12.077 alpha=90.00 beta=90.00 gamma=90.00
Atoms (fractional coordinates):
K1 0.000 0.000 0.000
Rb1 0.500 0.500 0.319
Rb2 0.500 0.500 0.681
I1 0.000 0.000 0.500

Computed properties:
**VASP energy**: -1.83 eV/atom
**Crystal system**: tetragonal
**ΔE to the lowest computed polymorph**: 5 kJ/mol of formula units

Below is an optimized crystal structure of Sc2NiSnC, with properties calculated at the GGA-PBE level.

Unit cell a=4.548 b=4.548 c=3.937 alpha=90.00 beta=90.00 gamma=90.00
Atoms (fractional coordinates):
Sc1 0.000 0.500 0.000
Sc2 0.500 0.000 0.000
Ni1 0.000 0.000 0.500
Sn1 0.500 0.500 0.500
C1 0.000 0.000 0.000

Computed properties:
**VASP energy**: -6.80 eV/atom
**Formation energy**: -0.4643 eV/atom
**Crystal system**: tetragonal
**ΔE to the lowest computed polymorph**: 0 kJ/mol of formula units

Below is an optimized crystal structure of ZrB4Ru, with properties calculated at the GGA-PBE level.

Unit cell a=5.874 b=11.394 c=3.455 alpha=90.00 beta=90.00 gamma=90.00
Atoms (fractional coordinates):
Zr1 0.129 0.149 0.000
Zr2 0.371 0.649 0.000
Zr3 0.629 0.351 0.000
Zr4 0.871 0.851 0.000
B1 0.027 0.694 0.500
B2 0.115 0.548 0.500
B3 0.132 0.969 0.500
B4 0.206 0.812 0.500
B5 0.294 0.312 0.500
B6 0.368 0.469 0.500
B7 0.385 0.048 0.500
B8 0.473 0.194 0.500
B9 0.527 0.806 0.500
B10 0.615 0.952 0.500
B11 0.632 0.531 0.500
B12 0.706 0.688 0.500
B13 0.794 0.188 0.500
B14 0.868 0.031 0.500
B15 0.885 0.452 0.500
B16 0.973 0.306 0.500
Ru1 0.140 0.405 0.000
Ru2 0.360 0.905 0.000
Ru3 0.640 0.095 0.000
Ru4 0.860 0.595 0.000

Computed properties:
**VASP energy**: -8.02 eV/atom
**Formation energy**: -0.5996 eV/atom
**Crystal system**: orthorhombic

Below is an optimized crystal structure of PrSm2Dy6Ho, with properties calculated at the GGA-PBE level.

Unit cell a=8.803 b=8.803 c=9.660 alpha=94.13 beta=94.13 gamma=117.94
Atoms (fractional coordinates):
Pr1 0.021 0.979 0.750
Pr2 0.979 0.021 0.250
Sm1 0.197 0.300 0.544
Sm2 0.300 0.197 0.044
Sm3 0.700 0.803 0.956
Sm4 0.803 0.700 0.456
Dy1 0.019 0.569 0.685
Dy2 0.124 0.744 0.057
Dy3 0.256 0.876 0.443
Dy4 0.294 0.508 0.881
Dy5 0.431 0.981 0.815
Dy6 0.492 0.706 0.619
Dy7 0.508 0.294 0.381
Dy8 0.569 0.019 0.185
Dy9 0.706 0.492 0.119
Dy10 0.744 0.124 0.557
Dy11 0.876 0.256 0.943
Dy12 0.981 0.431 0.315
Ho1 0.408 0.592 0.250
Ho2 0.592 0.408 0.750

Computed properties:
**VASP energy**: -4.52 eV/atom
**Formation energy**: 0.1175 eV/atom
**Crystal system**: monoclinic

Below is an optimized crystal structure of Ac2ErCu3Sn4, with properties calculated at the GGA-PBE level.

Unit cell a=4.636 b=4.636 c=11.755 alpha=90.00 beta=90.00 gamma=90.00
Atoms (fractional coordinates):
Ac1 0.000 0.500 0.232
Ac2 0.500 0.000 0.768
Er1 0.000 0.000 0.500
Cu1 0.000 0.500 0.878
Cu2 0.500 0.000 0.122
Cu3 0.500 0.500 0.500
Sn1 0.000 0.000 0.000
Sn2 0.000 0.500 0.655
Sn3 0.500 0.000 0.345
Sn4 0.500 0.500 0.000

Computed properties:
**VASP energy**: -4.58 eV/atom
**Formation energy**: -0.4734 eV/atom
**Crystal system**: tetragonal

Below is an optimized crystal structure of BeBH, with properties calculated at the GGA-PBE level.

Unit cell a=3.698 b=3.001 c=4.739 alpha=90.00 beta=109.37 gamma=90.00
Atoms (fractional coordinates):
Be1 0.000 0.000 0.000
Be2 0.360 0.500 0.247
B1 0.570 0.000 0.091
B2 0.846 0.500 0.226
H1 0.072 0.500 0.490
H2 0.540 0.000 0.811

Computed properties:
**VASP energy**: -4.52 eV/atom
**Crystal system**: monoclinic
**ΔE to the lowest computed polymorph**: 4 kJ/mol of formula units

> Among the records above, which one has the lowest VASP energy?

ZrB4Ru